Entry P
DFT (PBE) results for a relaxed PmSm12Ho6 crystal.

abc: 12.0596 12.0596 15.2200
angles: 90.00 90.00 120.00
Last column: nearest neighbours and their distance in Å.
Space group R-3 (No. 148, hexagonal axes)
One atom of each set of equivalent atoms:
1 Pm 0.0000 0.0000 0.0000 x3  6 Ho 3.50, 6 Sm 3.59
2 Sm 0.0072 0.8310 0.1918 x18  4 Sm 3.44-3.61, 4 Ho 3.53-3.69, 1 Pm 3.59
3 Sm 0.0454 0.8500 0.4166 x18  6 Sm 3.32-3.70, 3 Ho 3.32-3.48
4 Ho 0.0128 0.4259 0.6847 x18  7 Sm 3.32-3.69, 1 Pm 3.50, 2 Ho 3.53


Entry Q
DFT (PBE) results for a relaxed PmSm12Ho6 crystal.

abc: 13.3353 13.3353 12.6608
angles: 90.00 90.00 120.00
Last column: nearest neighbours and their distance in Å.
Space group R-3m (No. 166, hexagonal axes)
One atom of each set of equivalent atoms:
1 Pm 0.0000 0.0000 0.0000 x3  6 Ho 3.42
2 Sm 0.0000 0.2587 0.5000 x18  6 Sm 3.37-3.56, 4 Ho 3.48-3.59
3 Sm 0.0908 0.1816 0.2642 x18  6 Sm 3.37-3.63, 2 Ho 3.76
4 Ho 0.0413 0.5207 0.6197 x18  1 Ho 3.18, 1 Pm 3.42, 2 Sm 3.48


Best to worst by energy: entry P, entry Q.


Entry P
DFT (PBE) results for a relaxed PmSm3Ho2 crystal.

abc: 3.4973 5.9163 19.6567
angles: 90.00 90.00 90.00
Last column: nearest neighbours and their distance in Å.
Space group Immm (No. 71)
One atom of each set of equivalent atoms:
1 Pm 0.0000 0.0000 0.0000 x2  2 Sm 2.96
2 Sm 0.0000 0.0000 0.1928 x4  5 Ho 3.34-3.61, 2 Sm 3.50
3 Sm 0.0000 0.5000 0.0000 x2  2 Pm 2.96, 4 Ho 3.21
4 Ho 0.0000 0.0000 0.3628 x4  3 Sm 3.21-3.34, 2 Ho 3.50


Entry Q
DFT (PBE) results for a relaxed PmSm3Ho2 crystal.

abc: 7.1900 10.1703 11.3683
angles: 90.00 108.39 90.00
Last column: nearest neighbours and their distance in Å.
Space group C2/c (No. 15)
One atom of each set of equivalent atoms:
1 Pm 0.0000 0.1251 0.2500 x4  8 Sm 3.59-3.60, 4 Ho 3.60
2 Sm 0.0000 0.3751 0.7500 x4  6 Ho 3.59-3.60, 4 Sm 3.59-3.60, 2 Pm 3.60
3 Sm 0.1668 0.1252 0.5834 x8  5 Ho 3.59-3.60, 4 Sm 3.59-3.60, 3 Pm 3.59-3.60
4 Ho 0.1662 0.3751 0.0826 x8  2 Ho 3.59, 8 Sm 3.59-3.60, 2 Pm 3.60


Best to worst by energy: entry Q, entry P.


Entry P
DFT (PBE) results for a relaxed Pm2SmHo9 crystal.

abc: 11.2408 11.2408 3.5036
angles: 90.00 90.00 120.00
Last column: nearest neighbours and their distance in Å.
Space group P6/mmm (No. 191)
One atom of each set of equivalent atoms:
1 Pm 0.3333 0.6667 0.0000 x2  9 Ho 3.24-3.54, 2 Pm 3.50
2 Sm 0.0000 0.0000 0.0000 x1  2 Sm 3.50, 12 Ho 3.84
3 Ho 0.0000 0.5000 0.0000 x3  2 Pm 3.24, 10 Ho 3.50-3.62
4 Ho 0.1755 0.3509 0.5000 x6  8 Ho 3.42-3.62, 2 Pm 3.54


Entry Q
DFT (PBE) results for a relaxed Pm2SmHo9 crystal.

abc: 5.8890 5.8890 11.0418
angles: 90.00 90.00 90.00
Last column: nearest neighbours and their distance in Å.
Space group P4/mmm (No. 123)
One atom of each set of equivalent atoms:
1 Pm 0.0000 0.0000 0.1667 x2  8 Ho 3.47, 1 Sm 3.68, 1 Pm 3.68
2 Sm 0.0000 0.0000 0.5000 x1  8 Ho 3.47, 2 Pm 3.68
3 Ho 0.0000 0.5000 0.0000 x2  6 Ho 3.47-3.69, 4 Pm 3.47
4 Ho 0.0000 0.5000 0.3337 x4  6 Ho 3.47-3.69, 2 Sm 3.47, 2 Pm 3.47
5 Ho 0.5000 0.5000 0.1666 x2  10 Ho 3.47-3.68
6 Ho 0.5000 0.5000 0.5000 x1  10 Ho 3.47-3.68


Best to worst by energy: entry P, entry Q.


Entry P
DFT (PBE) results for a relaxed PmSm2Ho7 crystal.

abc: 8.5862 17.6304 5.0695
angles: 90.00 90.00 90.00
Last column: nearest neighbours and their distance in Å.
Space group Cmmm (No. 65)
One atom of each set of equivalent atoms:
1 Pm 0.0000 0.0000 0.0000 x2  10 Ho 3.44-3.52
2 Sm 0.0000 0.2989 0.5000 x4  4 Ho 3.13-3.20
3 Ho 0.0000 0.1949 0.0000 x4  2 Sm 3.13, 4 Ho 3.35, 1 Pm 3.44
4 Ho 0.0000 0.5000 0.5000 x2  4 Ho 3.32, 2 Sm 3.55
5 Ho 0.1812 0.1069 0.5000 x8  4 Ho 3.11-3.35, 1 Sm 3.20


Entry Q
DFT (PBE) results for a relaxed PmSm2Ho7 crystal.

abc: 8.1866 17.7834 5.3240
angles: 90.00 90.00 90.00
Last column: nearest neighbours and their distance in Å.
Space group Cmmm (No. 65)
One atom of each set of equivalent atoms:
1 Pm 0.0000 0.0000 0.0000 x2  8 Ho 3.56
2 Sm 0.0000 0.2651 0.5000 x4  6 Ho 3.35-3.62
3 Ho 0.0000 0.4030 0.0000 x4  3 Ho 3.17-3.45
4 Ho 0.0000 0.5000 0.5000 x2  8 Ho 3.07-3.17
5 Ho 0.1928 0.0989 0.5000 x8  2 Ho 3.07-3.16, 1 Sm 3.35


Best to worst by energy: entry Q, entry P.


Entry P
DFT (PBE) results for a relaxed Pm3Sm4Ho crystal.

abc: 23.6387 3.5045 6.8761
angles: 90.00 106.90 90.00
Last column: nearest neighbours and their distance in Å.
Space group C2/m (No. 12)
One atom of each set of equivalent atoms:
1 Pm 0.0000 0.0000 0.0000 x2  2 Sm 3.32, 4 Pm 3.33-3.50
2 Pm 0.1243 0.0000 0.3839 x4  5 Sm 3.31-3.58, 3 Pm 3.33-3.50, 2 Ho 3.70
3 Sm 0.1239 0.0000 0.8646 x4  3 Pm 3.31-3.57, 5 Sm 3.50-3.58, 2 Ho 3.70
4 Sm 0.2413 0.5000 0.7430 x4  9 Sm 3.50-3.90, 3 Pm 3.53-3.58
5 Ho 0.0000 0.5000 0.5000 x2  2 Ho 3.50, 4 Sm 3.70, 8 Pm 3.70-3.86


Entry Q
DFT (PBE) results for a relaxed Pm3Sm4Ho crystal.

abc: 11.6634 7.3474 6.3524
angles: 90.00 90.00 90.00
Last column: nearest neighbours and their distance in Å.
Space group Pmn2_1 (No. 31)
One atom of each set of equivalent atoms:
1 Pm 0.0000 0.1257 0.0000 x2  4 Pm 3.60-3.61, 6 Sm 3.62-3.68, 2 Ho 3.67-3.68
2 Pm 0.2499 0.1243 0.3324 x4  4 Pm 3.60-3.66, 2 Ho 3.60, 6 Sm 3.61-3.68
3 Sm 0.0000 0.3749 0.5012 x2  6 Sm 3.59-3.68, 4 Pm 3.61-3.67, 2 Ho 3.67
4 Sm 0.0000 0.6250 0.9986 x2  6 Sm 3.59-3.68, 4 Pm 3.61-3.68, 2 Ho 3.67
5 Sm 0.2480 0.6255 0.3329 x4  1 Ho 3.58, 6 Sm 3.59-3.67, 5 Pm 3.62-3.68
6 Ho 0.0000 0.8751 0.4992 x2  6 Sm 3.58-3.67, 6 Pm 3.60-3.68


Best to worst by energy: entry Q, entry P.


Entry P
DFT (PBE) results for a relaxed PmSm2Ho crystal.

abc: 5.1091 5.1091 10.1797
angles: 90.00 90.00 90.00
Last column: nearest neighbours and their distance in Å.
Space group I-4m2 (No. 119)
One atom of each set of equivalent atoms:
1 Pm 0.0000 0.0000 0.0000 x2  4 Ho 3.61, 8 Sm 3.61
2 Sm 0.0000 0.0000 0.5000 x2  4 Ho 3.61, 4 Sm 3.61, 4 Pm 3.61
3 Sm 0.0000 0.5000 0.2500 x2  4 Pm 3.61, 4 Sm 3.61, 4 Ho 3.61
4 Ho 0.0000 0.5000 0.7500 x2  8 Sm 3.61, 4 Pm 3.61


Entry Q
DFT (PBE) results for a relaxed PmSm2Ho crystal.

abc: 4.2459 4.2459 7.3992
angles: 90.00 90.00 90.00
Last column: nearest neighbours and their distance in Å.
Space group P4/mmm (No. 123)
One atom of each set of equivalent atoms:
1 Pm 0.0000 0.0000 0.0000 x1  8 Sm 3.55, 2 Ho 3.70
2 Sm 0.5000 0.5000 0.2549 x2  4 Ho 3.51, 4 Pm 3.55, 2 Sm 3.63-3.77
3 Ho 0.0000 0.0000 0.5000 x1  8 Sm 3.51, 2 Pm 3.70


Entry R
DFT (PBE) results for a relaxed PmSm2Ho crystal.

abc: 8.1241 8.1241 8.1241
angles: 90.00 90.00 90.00
Last column: nearest neighbours and their distance in Å.
Space group Fm-3m (No. 225)
One atom of each set of equivalent atoms:
1 Pm 0.0000 0.0000 0.0000 x4  8 Sm 3.52
2 Sm 0.2500 0.2500 0.2500 x8  4 Ho 3.52, 4 Pm 3.52
3 Ho 0.0000 0.0000 0.5000 x4  8 Sm 3.52


Best to worst by energy: entry P, entry Q, entry R.


Entry P
DFT (PBE) results for a relaxed Pm5Sm4Ho3 crystal.

abc: 11.4400 5.5085 13.4070
angles: 90.00 105.78 90.00
Last column: nearest neighbours and their distance in Å.
Space group C2/m (No. 12)
One atom of each set of equivalent atoms:
1 Pm 0.0000 0.0000 0.0000 x2  2 Ho 2.75, 2 Sm 3.03
2 Pm 0.1392 0.0000 0.4653 x4  1 Ho 3.41, 4 Pm 3.55-3.69, 5 Sm 3.64-3.79
3 Pm 0.1688 0.5000 0.2647 x4  4 Ho 3.52-3.61, 5 Sm 3.63-3.87, 3 Pm 3.69-3.93
4 Sm 0.0913 0.5000 0.6293 x4  2 Sm 3.48-3.53, 2 Ho 3.57, 8 Pm 3.63-3.87
5 Sm 0.2298 0.5000 0.8946 x4  1 Pm 3.03, 1 Ho 3.31
6 Ho 0.0000 0.5000 0.0000 x2  2 Pm 2.75
7 Ho 0.0430 0.0000 0.7825 x4  2 Pm 3.09-3.41


Entry Q
DFT (PBE) results for a relaxed Pm5Sm4Ho3 crystal.

abc: 6.2528 7.2175 8.8449
angles: 90.03 90.12 90.17
Last column: nearest neighbours and their distance in Å.
Space group P-1 (No. 2)
One atom of each set of equivalent atoms:
1 Pm 0.0000 0.0000 0.0000 x1  4 Pm 3.60-3.63, 4 Ho 3.61, 4 Sm 3.61-3.62
2 Pm 0.3316 0.5003 0.3337 x2  5 Sm 3.59-3.63, 4 Ho 3.60-3.61, 3 Pm 3.61-3.62
3 Pm 0.4982 0.2509 0.9997 x2  6 Pm 3.60-3.63, 3 Ho 3.60-3.61, 3 Sm 3.62
4 Sm 0.1656 0.7491 0.6667 x2  5 Pm 3.59-3.63, 4 Ho 3.60-3.62, 3 Sm 3.61-3.62
5 Sm 0.3342 0.0000 0.3342 x2  4 Sm 3.59-3.62, 5 Pm 3.61-3.62, 3 Ho 3.61
6 Ho 0.0000 0.5000 0.0000 x1  8 Pm 3.60-3.61, 2 Sm 3.61, 2 Ho 3.61
7 Ho 0.1667 0.2503 0.6670 x2  5 Pm 3.60-3.61, 6 Sm 3.60-3.62, 1 Ho 3.61


Best to worst by energy: entry Q, entry P.


Entry P
DFT (PBE) results for a relaxed Pm4Sm5Ho3 crystal.

abc: 16.3068 5.9654 9.3972
angles: 90.00 116.53 90.00
Last column: nearest neighbours and their distance in Å.
Space group C2/m (No. 12)
One atom of each set of equivalent atoms:
1 Pm 0.0823 0.0000 0.4419 x4  2 Pm 3.32-3.69, 1 Ho 3.46, 3 Sm 3.46-3.58
2 Pm 0.2163 0.0000 0.8789 x4  3 Ho 3.35-3.54, 3 Pm 3.61-3.69, 3 Sm 3.69
3 Sm 0.0000 0.0000 0.0000 x2  4 Ho 2.98-3.12
4 Sm 0.0739 0.5000 0.7021 x4  2 Ho 3.30-3.51, 1 Sm 3.47, 2 Pm 3.69
5 Sm 0.1725 0.5000 0.3877 x4  4 Ho 3.24-3.50, 3 Pm 3.46-3.58
6 Ho 0.0000 0.5000 0.0000 x2  2 Sm 2.98
7 Ho 0.2091 0.0000 0.2292 x4  3 Sm 3.12-3.30, 2 Pm 3.35-3.46


Entry Q
DFT (PBE) results for a relaxed Pm4Sm5Ho3 crystal.

abc: 6.2500 7.2121 8.8400
angles: 90.03 90.09 90.16
Last column: nearest neighbours and their distance in Å.
Space group P-1 (No. 2)
One atom of each set of equivalent atoms:
1 Pm 0.1654 0.2485 0.1674 x2  5 Sm 3.59-3.62, 4 Ho 3.59-3.62, 3 Pm 3.61-3.62
2 Pm 0.3341 0.5001 0.8335 x2  4 Pm 3.60-3.62, 5 Sm 3.60-3.62, 3 Ho 3.61-3.62
3 Sm 0.0000 0.5000 0.5000 x1  4 Sm 3.60-3.63, 4 Ho 3.61, 4 Pm 3.61
4 Sm 0.3322 0.0004 0.8332 x2  5 Pm 3.59-3.62, 4 Ho 3.60-3.61, 3 Sm 3.61-3.62
5 Sm 0.4981 0.7514 0.4998 x2  6 Sm 3.59-3.63, 3 Ho 3.59-3.61, 3 Pm 3.61-3.62
6 Ho 0.0000 0.0000 0.5000 x1  2 Pm 3.60, 8 Sm 3.60-3.61, 2 Ho 3.60
7 Ho 0.1668 0.7510 0.1677 x2  6 Pm 3.59-3.62, 5 Sm 3.59-3.61, 1 Ho 3.60


Best to worst by energy: entry Q, entry P.